Compound: PmPr4Tm2
Source: Alexandria
Functional: GGA-PBE
Structure: optimized geometry

**Electronic total energy**: -4.623 eV/atom
**Fermi-level density of states**: 21.3 states/eV per cell
**Magnetic moment**: 0.0 μB/f.u.
**Calculated density**: 7.2 Mg/m³

Lattice parameters (Å, degrees): 12.6694 12.6694 6.8712 96.98 96.98 150.24
Closest atoms and distances in Å follow each position.
Sites, in units of the cell vectors:
Pr (0.1780, 0.7156, 0.3677)  6 Pr 3.46-3.86, 2 Tm 3.59-3.61, 2 Pm 3.62-3.70
Pr (0.1434, 0.0358, 0.1002)  5 Pr 3.46-3.87, 4 Tm 3.48-3.69, 2 Pm 3.70-3.79
Pr (0.7933, 0.1857, 0.4003)  5 Pr 3.46-3.86, 4 Tm 3.48-3.69, 2 Pm 3.70-3.79
Pr (0.5980, 0.5605, 0.6329)  6 Pr 3.46-3.87, 2 Tm 3.59-3.61, 2 Pm 3.62-3.70
Pm (0.4224, 0.6724, 0.5001)  4 Tm 3.48-3.65, 8 Pr 3.62-3.79
Pr (0.0358, 0.1434, 0.6002)  5 Pr 3.46-3.87, 4 Tm 3.48-3.69, 2 Pm 3.70-3.79
Tm (0.1058, 0.9223, 0.5503)  2 Pm 3.48-3.65, 7 Pr 3.48-3.88, 2 Tm 3.69
Pr (0.1857, 0.7933, 0.9003)  5 Pr 3.46-3.86, 4 Tm 3.48-3.69, 2 Pm 3.70-3.79
Tm (0.9223, 0.1058, 0.0503)  2 Pm 3.48-3.65, 7 Pr 3.48-3.88, 2 Tm 3.69
Pr (0.7156, 0.1780, 0.8677)  6 Pr 3.46-3.86, 2 Tm 3.59-3.61, 2 Pm 3.62-3.70
Tm (0.6222, 0.3057, 0.4499)  2 Pm 3.48-3.65, 7 Pr 3.48-3.88, 2 Tm 3.69
Pm (0.6724, 0.4224, 0.0001)  4 Tm 3.48-3.65, 8 Pr 3.62-3.79
Tm (0.3057, 0.6222, 0.9499)  2 Pm 3.48-3.65, 7 Pr 3.48-3.88, 2 Tm 3.69
Pr (0.5605, 0.5980, 0.1329)  6 Pr 3.46-3.87, 2 Tm 3.59-3.61, 2 Pm 3.62-3.70